Material: CdMoPb2
Method: DFT, PBE-GGA
State: relaxed

Calculated values
The value obtained for the formation energy is 0.446 eV per atom. The value obtained for the density of states at the Fermi level is 3.52 states/eV/cell. The space group is Imm2 (44).

```
CdMoPb2
1.0
-1.516 2.417 7.050
1.516 -2.417 7.050
1.516 2.417 -7.050
Cd Mo Pb
1 1 2
direct
0.000 0.000 0.000 Cd
0.180 0.680 0.500 Mo
0.370 0.370 0.000 Pb
0.676 0.176 0.500 Pb
```

***

Material: Ba4YHg
Method: DFT, PBE-GGA
State: relaxed

Calculated values
The value obtained for the formation energy is 0.449 eV per atom. The value obtained for the density of states at the Fermi level is 11.67 states/eV/cell. The space group is F-43m (216).

```
Ba4YHg
1.0
0.000 5.289 5.289
5.289 0.000 5.289
5.289 5.289 0.000
Ba Y Hg
4 1 1
direct
0.125 0.125 0.125 Ba
0.125 0.125 0.626 Ba
0.125 0.626 0.125 Ba
0.626 0.125 0.125 Ba
0.750 0.750 0.750 Y
0.500 0.500 0.500 Hg
```